First-principles (PBE) data for a geometry-optimized Sr2Al6PdRh structure, as listed in Alexandria via LeMat-Bulk.

formation enthalpy at 0 K: -522 meV/atom
E: -4.36 eV per atom

Lattice parameters (Å, degrees): 6.625 6.629 6.885 61.57 61.44 60.22
Space group P-1 (No. 2)
One atom of each set of equivalent atoms:
Sr (0.205, 0.204, 0.384) [2 per cell]
Al (0.247, 0.656, 0.848) [2 per cell]
Al (0.250, 0.247, 0.846) [2 per cell]
Al (0.343, 0.753, 0.152) [2 per cell]
Pd (0.500, 0.500, 0.500) [1 per cell]
Rh (0.000, 0.000, 0.000) [1 per cell]

---

First-principles (PBE) data for a geometry-optimized ThAl3PdRh structure, as listed in Alexandria via LeMat-Bulk.

formation enthalpy at 0 K: -642 meV/atom
E: -5.84 eV per atom

Lattice parameters (Å, degrees): 6.333 12.705 5.667 90.00 90.00 90.00
Space group Cmcm (No. 63)
One atom of each set of equivalent atoms:
Th (0.000, 0.222, 0.250) [4 per cell]
Al (0.000, 0.366, 0.750) [4 per cell]
Al (0.203, 0.000, 0.000) [8 per cell]
Pd (0.000, 0.157, 0.750) [4 per cell]
Rh (0.000, 0.428, 0.250) [4 per cell]

---

First-principles (PBE) data for a geometry-optimized TmAlPdRh structure, as listed in Alexandria via LeMat-Bulk.

formation enthalpy at 0 K: -906 meV/atom
E: -6.10 eV per atom

Lattice parameters (Å, degrees): 6.485 6.485 6.485 90.00 90.00 90.00
Space group F-43m (No. 216)
One atom of each set of equivalent atoms:
Tm (0.000, 0.000, 0.000) [4 per cell]
Al (0.000, 0.000, 0.500) [4 per cell]
Pd (0.250, 0.250, 0.750) [4 per cell]
Rh (0.250, 0.250, 0.250) [4 per cell]

---

First-principles (PBE) data for a geometry-optimized Y2Al5Pd2Rh structure, as listed in Alexandria via LeMat-Bulk.

formation enthalpy at 0 K: -695 meV/atom
E: -5.63 eV per atom

Lattice parameters (Å, degrees): 10.016 10.016 3.621 90.00 90.00 90.00
Space group P4/mbm (No. 127)
One atom of each set of equivalent atoms:
Y (0.184, 0.316, 0.000) [4 per cell]
Al (0.000, 0.500, 0.500) [2 per cell]
Al (0.047, 0.808, 0.500) [8 per cell]
Pd (0.119, 0.619, 0.000) [4 per cell]
Rh (0.000, 0.000, 0.000) [2 per cell]

---

First-principles (PBE) data for a geometry-optimized Y2Al5PdRh2 structure, as listed in Alexandria via LeMat-Bulk.

formation enthalpy at 0 K: -718 meV/atom
E: -5.87 eV per atom

Lattice parameters (Å, degrees): 9.607 9.607 3.922 90.00 90.00 90.00
Space group P4/mbm (No. 127)
One atom of each set of equivalent atoms:
Y (0.182, 0.318, 0.000) [4 per cell]
Al (0.000, 0.500, 0.500) [2 per cell]
Al (0.056, 0.799, 0.500) [8 per cell]
Pd (0.000, 0.000, 0.000) [2 per cell]
Rh (0.115, 0.615, 0.000) [4 per cell]

---

First-principles (PBE) data for a geometry-optimized ZrAlPd2Rh structure, as listed in Alexandria via LeMat-Bulk.

formation enthalpy at 0 K: 456 meV/atom
E: -5.55 eV per atom

Lattice parameters (Å, degrees): 4.887 4.887 4.342 90.00 90.00 90.00
Space group P4/mmm (No. 123)
One atom of each set of equivalent atoms:
Zr (0.000, 0.000, 0.000) [1 per cell]
Al (0.500, 0.500, 0.000) [1 per cell]
Pd (0.000, 0.500, 0.500) [2 per cell]
Rh (0.500, 0.500, 0.500) [1 per cell]

---

First-principles (PBE) data for a geometry-optimized Zr2Al5Pd2Rh structure, as listed in Alexandria via LeMat-Bulk.

formation enthalpy at 0 K: -684 meV/atom
E: -6.04 eV per atom

Lattice parameters (Å, degrees): 9.867 9.867 3.456 90.00 90.00 90.00
Space group P4/mbm (No. 127)
One atom of each set of equivalent atoms:
Zr (0.183, 0.317, 0.000) [4 per cell]
Al (0.000, 0.500, 0.500) [2 per cell]
Al (0.047, 0.806, 0.500) [8 per cell]
Pd (0.121, 0.621, 0.000) [4 per cell]
Rh (0.000, 0.000, 0.000) [2 per cell]

---

First-principles (PBE) data for a geometry-optimized Al2PdRu2 structure, as listed in Alexandria via LeMat-Bulk.

formation enthalpy at 0 K: -266 meV/atom
E: -6.51 eV per atom
offset from the most stable computed form: 0.1037 eV per atom

Lattice parameters (Å, degrees): 7.112 7.112 2.943 90.00 90.00 90.00
Space group P4/mbm (No. 127)
One atom of each set of equivalent atoms:
Al (0.170, 0.330, 0.000) [4 per cell]
Pd (0.000, 0.000, 0.500) [2 per cell]
Ru (0.128, 0.628, 0.500) [4 per cell]

---

First-principles (PBE) data for a geometry-optimized AlPdRu3 structure, as listed in Alexandria via LeMat-Bulk.

formation enthalpy at 0 K: 1213 meV/atom
E: -6.14 eV per atom
offset from the most stable computed form: 0.0000 eV per atom

Lattice parameters (Å, degrees): 4.386 4.386 4.386 90.00 90.00 90.00
Space group Pm-3m (No. 221)
One atom of each set of equivalent atoms:
Al (0.000, 0.000, 0.000) [1 per cell]
Pd (0.500, 0.500, 0.500) [1 per cell]
Ru (0.000, 0.000, 0.500) [3 per cell]

---

First-principles (PBE) data for a geometry-optimized Al2PdRu structure, as listed in Alexandria via LeMat-Bulk.

formation enthalpy at 0 K: -859 meV/atom
E: -6.35 eV per atom

Lattice parameters (Å, degrees): 3.057 3.057 5.977 90.00 90.00 90.00
Space group P4/mmm (No. 123)
One atom of each set of equivalent atoms:
Al (0.000, 0.000, 0.233) [2 per cell]
Pd (0.500, 0.500, 0.500) [1 per cell]
Ru (0.500, 0.500, 0.000) [1 per cell]

---

First-principles (PBE) data for a geometry-optimized AlPdRu3 structure, as listed in Alexandria via LeMat-Bulk.

formation enthalpy at 0 K: 1863 meV/atom
E: -5.49 eV per atom
offset from the most stable computed form: 0.6500 eV per atom

Lattice parameters (Å, degrees): 4.721 4.721 4.721 90.00 90.00 90.00
Space group Pm-3m (No. 221)
One atom of each set of equivalent atoms:
Al (0.000, 0.000, 0.000) [1 per cell]
Pd (0.500, 0.500, 0.500) [1 per cell]
Ru (0.000, 0.500, 0.500) [3 per cell]

---

First-principles (PBE) data for a geometry-optimized Al3PdRu structure, as listed in Alexandria via LeMat-Bulk.

formation enthalpy at 0 K: 38 meV/atom
E: -5.10 eV per atom
offset from the most stable computed form: 0.0000 eV per atom

Lattice parameters (Å, degrees): 4.617 4.617 4.617 90.00 90.00 90.00
Space group Pm-3m (No. 221)
One atom of each set of equivalent atoms:
Al (0.000, 0.000, 0.500) [3 per cell]
Pd (0.500, 0.500, 0.500) [1 per cell]
Ru (0.000, 0.000, 0.000) [1 per cell]

---

First-principles (PBE) data for a geometry-optimized Al4PdRu2 structure, as listed in Alexandria via LeMat-Bulk.

formation enthalpy at 0 K: -682 meV/atom
E: -6.21 eV per atom

Lattice parameters (Å, degrees): 5.981 5.981 5.966 90.00 90.00 90.00
Space group I4/mmm (No. 139)
One atom of each set of equivalent atoms:
Al (0.250, 0.250, 0.250) [8 per cell]
Pd (0.000, 0.000, 0.000) [2 per cell]
Ru (0.000, 0.500, 0.000) [4 per cell]

---

First-principles (PBE) data for a geometry-optimized Al2PdRu structure, as listed in Alexandria via LeMat-Bulk.

formation enthalpy at 0 K: -853 meV/atom
E: -6.34 eV per atom

Lattice parameters (Å, degrees): 4.235 4.235 3.092 90.00 90.00 90.00
Space group P4/mmm (No. 123)
One atom of each set of equivalent atoms:
Al (0.000, 0.500, 0.000) [2 per cell]
Pd (0.000, 0.000, 0.500) [1 per cell]
Ru (0.500, 0.500, 0.500) [1 per cell]

---

First-principles (PBE) data for a geometry-optimized Al2PdRu structure, as listed in Alexandria via LeMat-Bulk.

formation enthalpy at 0 K: -810 meV/atom
E: -6.30 eV per atom

Lattice parameters (Å, degrees): 6.052 6.052 6.052 90.00 90.00 90.00
Space group Fm-3m (No. 225)
One atom of each set of equivalent atoms:
Al (0.250, 0.250, 0.250) [8 per cell]
Pd (0.000, 0.000, 0.000) [4 per cell]
Ru (0.000, 0.000, 0.500) [4 per cell]

---

First-principles (PBE) data for a geometry-optimized Al2PdRu structure, as listed in Alexandria via LeMat-Bulk.

formation enthalpy at 0 K: -220 meV/atom
E: -5.71 eV per atom

Lattice parameters (Å, degrees): 6.625 6.625 5.736 90.00 90.00 90.00
Space group I-42d (No. 122)
One atom of each set of equivalent atoms:
Al (0.247, 0.750, 0.125) [8 per cell]
Pd (0.000, 0.000, 0.000) [4 per cell]
Ru (0.000, 0.000, 0.500) [4 per cell]

---

First-principles (PBE) data for a geometry-optimized AlPd2Ru structure, as listed in Alexandria via LeMat-Bulk.

formation enthalpy at 0 K: 68 meV/atom
E: -5.78 eV per atom

Lattice parameters (Å, degrees): 3.725 3.725 18.387 90.00 90.00 90.00
Space group I-42d (No. 122)
One atom of each set of equivalent atoms:
Al (0.000, 0.000, 0.000) [4 per cell]
Pd (0.248, 0.250, 0.125) [8 per cell]
Ru (0.000, 0.000, 0.500) [4 per cell]

---

First-principles (PBE) data for a geometry-optimized Al2PdRu2 structure, as listed in Alexandria via LeMat-Bulk.

formation enthalpy at 0 K: -370 meV/atom
E: -6.62 eV per atom
offset from the most stable computed form: 0.0000 eV per atom

Lattice parameters (Å, degrees): 6.821 6.821 3.090 90.00 90.00 90.00
Space group P4/mbm (No. 127)
One atom of each set of equivalent atoms:
Al (0.138, 0.362, 0.000) [4 per cell]
Pd (0.000, 0.000, 0.000) [2 per cell]
Ru (0.160, 0.660, 0.500) [4 per cell]

---

First-principles (PBE) data for a geometry-optimized Al5Pd4Ru structure, as listed in Alexandria via LeMat-Bulk.

formation enthalpy at 0 K: -856 meV/atom
E: -5.73 eV per atom

Lattice parameters (Å, degrees): 3.072 3.072 15.171 90.00 90.00 90.00
Space group P4/mmm (No. 123)
One atom of each set of equivalent atoms:
Al (0.000, 0.000, 0.000) [1 per cell]
Al (0.000, 0.000, 0.201) [2 per cell]
Al (0.000, 0.000, 0.408) [2 per cell]
Pd (0.500, 0.500, 0.103) [2 per cell]
Pd (0.500, 0.500, 0.302) [2 per cell]
Ru (0.500, 0.500, 0.500) [1 per cell]

---

First-principles (PBE) data for a geometry-optimized Sc2Al5PdRu2 structure, as listed in Alexandria via LeMat-Bulk.

formation enthalpy at 0 K: -552 meV/atom
E: -6.06 eV per atom

Lattice parameters (Å, degrees): 9.159 9.159 3.995 90.00 90.00 90.00
Space group P4/mbm (No. 127)
One atom of each set of equivalent atoms:
Sc (0.177, 0.323, 0.000) [4 per cell]
Al (0.000, 0.500, 0.500) [2 per cell]
Al (0.066, 0.795, 0.500) [8 per cell]
Pd (0.000, 0.000, 0.000) [2 per cell]
Ru (0.119, 0.619, 0.000) [4 per cell]